Compound: Li3Sn3Bi
Source: Alexandria via LeMat-Bulk
Functional: GGA-PBE
Structure: relaxed

For the volume, the calculation gives 392.9 Å³ per cell. The calculation puts the formation energy from the elements at 43.5 kJ/mol of atoms. Its spin magnetization is 0.00 Bohr magnetons per cell.

The structure belongs to space group Pm-3n (No. 223); the cell edges are 7.324, 7.324 and 7.324 Å and the angles 90.00°, 90.00° and 90.00°. Symmetry generates all atoms from Li at (0.000, 0.250, 0.500), Sn at (0.000, 0.500, 0.250) and Bi at (0.000, 0.000, 0.000).


Compound: GaRuI
Source: Alexandria via LeMat-Bulk
Functional: GGA-PBE
Structure: relaxed

For the volume, the calculation gives 277.3 Å³ per cell. The raw formation energy is 63 meV/atom. Its spin magnetization is 0.00 Bohr magnetons per cell.

The structure belongs to space group C2/m (No. 12); the cell edges are 5.136, 4.936 and 10.994 Å and the angles 90.00°, 95.79° and 90.00°. Symmetry generates all atoms from Ga at (0.185, 0.000, 0.127), Ru at (0.180, 0.500, 0.097) and I at (0.230, 0.500, 0.343).


Compound: TePt2Rh
Source: Alexandria via LeMat-Bulk
Functional: GGA-PBE
Structure: relaxed

For the volume, the calculation gives 274.4 Å³ per cell. The value obtained for the excess energy over the best structure of this formula in the dataset is 119 meV/atom. The raw formation energy is 98 meV/atom. Its spin magnetization is 0.00 Bohr magnetons per cell.

The structure belongs to space group Fm-3m (No. 225); the cell edges are 6.498, 6.498 and 6.498 Å and the angles 90.00°, 90.00° and 90.00°. Symmetry generates all atoms from Te at (0.000, 0.000, 0.000), Pt at (0.250, 0.250, 0.250) and Rh at (0.000, 0.000, 0.500).


Compound: ZnAu3
Source: Alexandria via LeMat-Bulk
Functional: GGA-PBE
Structure: relaxed

For the volume, the calculation gives 550.3 Å³ per cell. The calculation puts the formation energy from the elements at -14.0 kJ/mol of atoms. Its spin magnetization is 0.00 Bohr magnetons per cell.

The structure belongs to space group Cmce (No. 64); the cell edges are 16.789, 5.729 and 5.722 Å and the angles 90.00°, 90.00° and 90.00°. Symmetry generates all atoms from Zn at (0.136, 0.000, 0.000), Au at (0.000, 0.182, 0.181), Au at (0.119, 0.000, 0.500) and Au at (0.250, 0.248, 0.750).


Compound: SrReOs4
Source: Alexandria via LeMat-Bulk
Functional: GGA-PBE
Structure: relaxed

For the volume, the calculation gives 411.6 Å³ per cell. The calculation puts the formation energy from the elements at 76.4 kJ/mol of atoms. Its spin magnetization is 0.00 Bohr magnetons per cell.

The structure belongs to space group F-43m (No. 216); the cell edges are 7.439, 7.439 and 7.439 Å and the angles 90.00°, 90.00° and 90.00°. Symmetry generates all atoms from Sr at (0.000, 0.000, 0.000), Re at (0.250, 0.250, 0.250) and Os at (0.125, 0.125, 0.625).


Compound: BaMgZn2Au
Source: Alexandria via LeMat-Bulk
Functional: GGA-PBE
Structure: relaxed

For the volume, the calculation gives 244.3 Å³ per cell. The calculation puts the formation energy from the elements at -35.6 kJ/mol of atoms. Its spin magnetization is 0.00 Bohr magnetons per cell.

The structure belongs to space group Imm2 (No. 44); the cell edges are 4.447, 4.527 and 12.134 Å and the angles 90.00°, 90.00° and 90.00°. Symmetry generates all atoms from Ba at (0.000, 0.000, 0.000), Mg at (0.000, 0.500, 0.752), Zn at (0.000, 0.000, 0.617), Zn at (0.000, 0.500, 0.247) and Au at (0.000, 0.000, 0.387).